No. 1
Material: TlAgSnBr4
Method: DFT, PBE-GGA
State: relaxed

a b c (Å): 7.2807 8.1728 8.8439
angles (deg): 90.00 107.01 90.00
Last column: nearest neighbours and their distance in Å.
Element x y z (fractional)
Tl (0.7993, 0.7500, 0.9531)  6 Br 3.23-3.48
Tl (0.2007, 0.2500, 0.0469)  6 Br 3.23-3.48
Br (0.5055, 0.2500, 0.8403)  1 Ag 2.71, 1 Sn 2.90
Br (0.0109, 0.9880, 0.7288)  1 Ag 2.70
Br (0.4975, 0.2500, 0.3986)  1 Ag 2.75, 1 Sn 2.83
Br (0.4945, 0.7500, 0.1597)  1 Ag 2.71, 1 Sn 2.90
Br (0.9891, 0.0120, 0.2712)  1 Ag 2.70
Br (0.0109, 0.5120, 0.7288)  1 Ag 2.70
Br (0.9891, 0.4880, 0.2712)  1 Ag 2.70
Br (0.5025, 0.7500, 0.6014)  1 Ag 2.75, 1 Sn 2.83
Ag (0.7764, 0.2500, 0.6857)  4 Br 2.70-2.75
Ag (0.2236, 0.7500, 0.3143)  4 Br 2.70-2.75
Sn (0.1999, 0.2500, 0.5444)  4 Br 2.83-3.13
Sn (0.8001, 0.7500, 0.4556)  4 Br 2.83-3.13

symmetry: P2_1/m, No. 11

No. 2
Material: Tl4AgSn3Br12
Method: DFT, PBE-GGA
State: relaxed

a b c (Å): 9.8436 9.8436 9.8436
angles (deg): 109.47 109.47 109.47
Last column: nearest neighbours and their distance in Å.
Element x y z (fractional)
Br (0.2500, 0.5000, 0.7500)  2 Sn 2.84
Br (0.7515, 0.0000, 0.7515)  1 Ag 2.82, 1 Sn 2.86
Br (0.7500, 0.2500, 0.5000)  2 Sn 2.84
Br (0.5000, 0.2500, 0.7500)  2 Sn 2.84
Br (0.2485, 0.2485, 0.0000)  1 Ag 2.82, 1 Sn 2.86
Br (0.7515, 0.7515, 0.0000)  1 Ag 2.82, 1 Sn 2.86
Br (0.7500, 0.5000, 0.2500)  2 Sn 2.84
Br (0.0000, 0.2485, 0.2485)  1 Ag 2.82, 1 Sn 2.86
Br (0.2500, 0.7500, 0.5000)  2 Sn 2.84
Br (0.0000, 0.7515, 0.7515)  1 Ag 2.82, 1 Sn 2.86
Br (0.5000, 0.7500, 0.2500)  2 Sn 2.84
Br (0.2485, 0.0000, 0.2485)  1 Ag 2.82, 1 Sn 2.86
Tl (0.0000, 0.5000, 0.0000)  12 Br 4.02
Tl (0.5000, 0.0000, 0.0000)  12 Br 4.02
Tl (0.0000, 0.0000, 0.5000)  12 Br 4.02
Tl (0.5000, 0.5000, 0.5000)  12 Br 4.02
Sn (0.5000, 0.5000, 0.0000)  6 Br 2.84-2.86
Sn (0.0000, 0.5000, 0.5000)  6 Br 2.84-2.86
Sn (0.5000, 0.0000, 0.5000)  6 Br 2.84-2.86
Ag (0.0000, 0.0000, 0.0000)  6 Br 2.82

symmetry: Im-3m, No. 229

No. 3
Material: Tl2Ag2SnBr6
Method: DFT, PBE-GGA
State: relaxed

a b c (Å): 8.0992 8.2367 7.8430
angles (deg): 115.58 90.00 119.45
Last column: nearest neighbours and their distance in Å.
Element x y z (fractional)
Br (0.3160, 0.1369, 0.8213)  1 Ag 2.68
Br (0.2731, 0.5462, 0.4117)  1 Ag 2.60
Br (0.7269, 0.4538, 0.5883)  1 Ag 2.60
Br (0.8209, 0.1369, 0.8213)  1 Ag 2.68
Br (0.6840, 0.8631, 0.1787)  1 Ag 2.68
Br (0.1791, 0.8631, 0.1787)  1 Ag 2.68
Sn (0.5000, 0.0000, 0.5000)  6 Br 2.97-3.01
Ag (0.9354, 0.8709, 0.7847)  3 Br 2.60-2.68
Ag (0.0646, 0.1291, 0.2153)  3 Br 2.60-2.68
Tl (0.7417, 0.4834, 0.1804)  5 Br 3.31-3.39
Tl (0.2583, 0.5166, 0.8196)  5 Br 3.31-3.39

symmetry: C2/m, No. 12

No. 4
Material: Tl2AgSnBr6
Method: DFT, PBE-GGA
State: relaxed

a b c (Å): 7.8245 7.9625 11.2680
angles (deg): 90.00 90.00 90.00
Last column: nearest neighbours and their distance in Å.
Element x y z (fractional)
Tl (0.5000, 0.8025, 0.8007)  5 Br 3.38-3.65
Tl (0.0000, 0.1975, 0.3007)  5 Br 3.38-3.65
Tl (0.0000, 0.1975, 0.6993)  5 Br 3.38-3.65
Tl (0.5000, 0.8025, 0.1993)  5 Br 3.38-3.65
Ag (0.0000, 0.7341, 0.5000)  6 Br 2.77-2.84
Ag (0.5000, 0.2659, 0.0000)  6 Br 2.77-2.84
Br (0.7361, 0.5247, 0.0000)  1 Sn 2.76, 1 Ag 2.77
Br (0.2451, 0.9900, 0.5000)  1 Ag 2.80, 1 Sn 2.85
Br (0.2549, 0.0100, 0.0000)  1 Ag 2.80, 1 Sn 2.85
Br (0.7639, 0.4753, 0.5000)  1 Sn 2.76, 1 Ag 2.77
Br (0.0000, 0.7703, 0.7512)  1 Sn 2.81, 1 Ag 2.84
Br (0.5000, 0.2297, 0.2512)  1 Sn 2.81, 1 Ag 2.84
Br (0.5000, 0.2297, 0.7488)  1 Sn 2.81, 1 Ag 2.84
Br (0.0000, 0.7703, 0.2488)  1 Sn 2.81, 1 Ag 2.84
Br (0.2361, 0.4753, 0.5000)  1 Sn 2.76, 1 Ag 2.77
Br (0.2639, 0.5247, 0.0000)  1 Sn 2.76, 1 Ag 2.77
Br (0.7549, 0.9900, 0.5000)  1 Ag 2.80, 1 Sn 2.85
Br (0.7451, 0.0100, 0.0000)  1 Ag 2.80, 1 Sn 2.85
Sn (0.5000, 0.2452, 0.5000)  6 Br 2.76-2.85
Sn (0.0000, 0.7548, 0.0000)  6 Br 2.76-2.85

symmetry: Pmmn, No. 59

No. 5
Material: TlAg2SnBr6
Method: DFT, PBE-GGA
State: relaxed

a b c (Å): 7.8004 9.4184 9.4184
angles (deg): 79.57 82.15 82.15
Last column: nearest neighbours and their distance in Å.
Element x y z (fractional)
Br (0.4191, 0.3066, 0.9567)  1 Ag 2.69, 1 Sn 2.93
Br (0.1302, 0.6425, 0.6470)  2 Ag 2.67-2.70
Br (0.4526, 0.9386, 0.3211)  2 Ag 2.85-2.94, 1 Sn 3.02
Br (0.5474, 0.0614, 0.6789)  2 Ag 2.85-2.94, 1 Sn 3.02
Br (0.5809, 0.6934, 0.0433)  1 Ag 2.69, 1 Sn 2.93
Br (0.0809, 0.0433, 0.6934)  1 Ag 2.69, 1 Sn 2.93
Br (0.9191, 0.9567, 0.3066)  1 Ag 2.69, 1 Sn 2.93
Br (0.8698, 0.3575, 0.3530)  2 Ag 2.67-2.70
Br (0.9526, 0.3211, 0.9386)  2 Ag 2.85-2.94, 1 Sn 3.02
Br (0.3698, 0.3530, 0.3575)  2 Ag 2.67-2.70
Br (0.0474, 0.6789, 0.0614)  2 Ag 2.85-2.94, 1 Sn 3.02
Br (0.6302, 0.6470, 0.6425)  2 Ag 2.67-2.70
Ag (0.6501, 0.1556, 0.3679)  5 Br 2.67-2.94
Ag (0.3499, 0.8444, 0.6321)  5 Br 2.67-2.94
Ag (0.1501, 0.3679, 0.1556)  5 Br 2.67-2.94
Ag (0.8499, 0.6321, 0.8444)  5 Br 2.67-2.94
Sn (0.2500, 0.3014, 0.6986)  6 Br 2.93-3.19
Sn (0.7500, 0.6986, 0.3014)  6 Br 2.93-3.19
Tl (0.7500, 0.0381, 0.9619)  6 Br 3.24-3.59
Tl (0.2500, 0.9619, 0.0381)  6 Br 3.24-3.59

symmetry: C2/c, No. 15

No. 6
Material: TlAgSn2Br
Method: DFT, PBE-GGA
State: relaxed

a b c (Å): 5.2869 6.1346 5.2869
angles (deg): 90.00 90.00 90.00
Last column: nearest neighbours and their distance in Å.
Element x y z (fractional)
Br (0.0000, 0.5000, 0.0000)  2 Ag 3.07
Ag (0.0000, 0.0000, 0.0000)  4 Sn 2.64
Sn (0.5000, 0.0000, 0.0000)  2 Ag 2.64
Sn (0.0000, 0.0000, 0.5000)  2 Ag 2.64
Tl (0.5000, 0.5000, 0.5000)  4 Br 3.74, 8 Sn 4.05

symmetry: P4/mmm, No. 123

No. 7
Material: TlAg2SnBr8
Method: DFT, PBE-GGA
State: relaxed

a b c (Å): 7.1185 6.7989 9.5524
angles (deg): 88.04 68.40 98.84
Last column: nearest neighbours and their distance in Å.
Element x y z (fractional)
Br (0.3194, 0.2817, 0.9657)  1 Sn 2.65, 1 Ag 2.72
Br (0.7147, 0.5290, 0.5687)  2 Ag 2.69-2.71
Br (0.7720, 0.1432, 0.2515)  1 Sn 2.67, 1 Ag 2.95
Br (0.2853, 0.4710, 0.4313)  2 Ag 2.69-2.71
Br (0.2280, 0.8568, 0.7485)  1 Sn 2.67, 1 Ag 2.95
Br (0.6806, 0.7183, 0.0343)  1 Sn 2.65, 1 Ag 2.72
Br (0.8923, 0.2407, 0.8288)  1 Sn 2.66, 1 Ag 2.80
Br (0.1077, 0.7593, 0.1712)  1 Sn 2.66, 1 Ag 2.80
Ag (0.2996, 0.4427, 0.7084)  5 Br 2.69-2.95
Ag (0.7004, 0.5573, 0.2916)  5 Br 2.69-2.95
Sn (0.0000, 0.0000, 0.0000)  6 Br 2.65-2.67
Tl (0.0000, 0.0000, 0.5000)  6 Br 3.42-3.52

symmetry: P-1, No. 2

No. 8
Material: YAg2SnBr
Method: DFT, PBE-GGA
State: relaxed

a b c (Å): 5.6342 5.2905 5.6342
angles (deg): 90.00 90.00 90.00
Last column: nearest neighbours and their distance in Å.
Element x y z (fractional)
Ag (0.5000, 0.0000, 0.0000)  2 Y 2.82
Ag (0.0000, 0.0000, 0.5000)  2 Y 2.82
Sn (0.5000, 0.5000, 0.5000)  8 Ag 3.86, 4 Br 3.98
Br (0.0000, 0.5000, 0.0000)  2 Y 2.65
Y (0.0000, 0.0000, 0.0000)  2 Br 2.65, 4 Ag 2.82

symmetry: P4/mmm, No. 123

No. 9
Material: Sr2Ag4Br9
Method: DFT, PBE-GGA
State: relaxed

a b c (Å): 7.4451 7.2516 20.3746
angles (deg): 89.72 90.41 58.74
Last column: nearest neighbours and their distance in Å.
Element x y z (fractional)
Br (0.4122, 0.9881, 0.9160)  3 Ag 2.79-2.95, 1 Sr 3.06
Br (0.7202, 0.9996, 0.7493)  2 Ag 2.87-2.90, 2 Sr 3.13
Br (0.0374, 0.6217, 0.5824)  3 Ag 2.76-3.01, 1 Sr 3.04
Br (0.2798, 0.0004, 0.2507)  2 Ag 2.87-2.90, 2 Sr 3.13
Br (0.0111, 0.6287, 0.9144)  2 Ag 2.72-2.89, 1 Sr 3.04
Br (0.6018, 0.9904, 0.4170)  3 Ag 2.78-2.97, 1 Sr 3.05
Br (0.3572, 0.6308, 0.4155)  2 Ag 2.73-2.95, 1 Sr 3.03
Br (0.6428, 0.3692, 0.5845)  2 Ag 2.73-2.95, 1 Sr 3.03
Br (0.0359, 0.3186, 0.7496)  2 Ag 2.87-2.89, 2 Sr 3.12-3.13
Br (0.5878, 0.0119, 0.0840)  3 Ag 2.79-2.95, 1 Sr 3.06
Br (0.9626, 0.3783, 0.4176)  3 Ag 2.76-3.01, 1 Sr 3.04
Br (0.3592, 0.6761, 0.7518)  2 Ag 2.85-2.89, 2 Sr 3.12-3.13
Br (0.6638, 0.3717, 0.9201)  3 Ag 2.76-3.04, 1 Sr 3.03
Br (0.9889, 0.3713, 0.0856)  2 Ag 2.72-2.89, 1 Sr 3.04
Br (0.9641, 0.6814, 0.2504)  2 Ag 2.87-2.89, 2 Sr 3.12-3.13
Br (0.3362, 0.6283, 0.0799)  3 Ag 2.76-3.04, 1 Sr 3.03
Br (0.6408, 0.3239, 0.2482)  2 Ag 2.85-2.89, 2 Sr 3.12-3.13
Br (0.3982, 0.0096, 0.5830)  3 Ag 2.78-2.97, 1 Sr 3.05
Sr (0.9657, 0.0025, 0.1476)  6 Br 3.03-3.13
Sr (0.0351, 0.9991, 0.6480)  6 Br 3.03-3.13
Sr (0.9649, 0.0009, 0.3520)  6 Br 3.03-3.13
Sr (0.0343, 0.9975, 0.8524)  6 Br 3.03-3.13
Ag (0.3002, 0.3356, 0.1790)  6 Br 2.85-3.04
Ag (0.3636, 0.3340, 0.6788)  6 Br 2.87-2.97
Ag (0.3283, 0.3406, 0.4937)  5 Br 2.73-3.01
Ag (0.6717, 0.6594, 0.5063)  5 Br 2.73-3.01
Ag (0.6661, 0.6605, 0.0071)  5 Br 2.72-2.99
Ag (0.6364, 0.6660, 0.3212)  6 Br 2.87-2.97
Ag (0.3339, 0.3395, 0.9929)  5 Br 2.72-2.99
Ag (0.6998, 0.6644, 0.8210)  6 Br 2.85-3.04

symmetry: P-1, No. 2

No. 10
Material: SrAg3Br
Method: DFT, PBE-GGA
State: relaxed

a b c (Å): 5.3966 5.3966 5.3966
angles (deg): 90.00 90.00 90.00
Last column: nearest neighbours and their distance in Å.
Element x y z (fractional)
Ag (0.0000, 0.0000, 0.5000)  2 Br 2.70
Ag (0.5000, 0.0000, 0.0000)  2 Br 2.70
Ag (0.0000, 0.5000, 0.0000)  2 Br 2.70
Br (0.0000, 0.0000, 0.0000)  6 Ag 2.70
Sr (0.5000, 0.5000, 0.5000)  12 Ag 3.82

symmetry: Pm-3m, No. 221

No. 11
Material: Sr2AgBr
Method: DFT, PBE-GGA
State: relaxed

a b c (Å): 6.8361 6.8360 5.1092
angles (deg): 89.99 89.99 35.11
Last column: nearest neighbours and their distance in Å.
Element x y z (fractional)
Sr (0.0091, 0.0091, 0.1250)  1 Br 3.19, 4 Ag 3.30
Sr (0.7509, 0.7509, 0.6250)  4 Br 3.28, 1 Ag 3.45
Br (0.2535, 0.2535, 0.1249)  5 Sr 3.19-3.28
Ag (0.4865, 0.4865, 0.6251)  5 Sr 3.30-3.45

symmetry: Amm2, No. 38

No. 12
Material: SrAg5Br8
Method: DFT, PBE-GGA
State: relaxed

a b c (Å): 8.2381 8.2381 8.2381
angles (deg): 103.66 103.66 121.84
Last column: nearest neighbours and their distance in Å.
Element x y z (fractional)
Br (0.6528, 0.9552, 0.8418)  2 Ag 2.71-2.75
Br (0.1559, 0.4684, 0.7909)  4 Ag 2.78-2.95
Br (0.5316, 0.3225, 0.6874)  4 Ag 2.78-2.95
Br (0.6351, 0.8442, 0.3126)  4 Ag 2.78-2.95
Br (0.6775, 0.3649, 0.2091)  4 Ag 2.78-2.95
Br (0.1134, 0.8110, 0.1582)  2 Ag 2.71-2.75
Br (0.0448, 0.8866, 0.6976)  2 Ag 2.71-2.75
Br (0.1890, 0.3472, 0.3024)  2 Ag 2.71-2.75
Ag (0.5000, 0.5000, 0.0000)  4 Br 2.79
Ag (0.8789, 0.3799, 0.9546)  5 Br 2.71-2.95
Ag (0.4254, 0.9243, 0.0454)  5 Br 2.71-2.95
Ag (0.0757, 0.1211, 0.5010)  5 Br 2.71-2.95
Ag (0.6201, 0.5746, 0.4990)  5 Br 2.71-2.95
Sr (0.2500, 0.7500, 0.5000)  4 Br 3.04

symmetry: I-4, No. 82

No. 13
Material: SrAgBr
Method: DFT, PBE-GGA
State: relaxed

a b c (Å): 4.4107 4.4072 13.6200
angles (deg): 90.00 90.00 120.03
Last column: nearest neighbours and their distance in Å.
Element x y z (fractional)
Br (0.2777, 0.5555, 0.7753)  3 Sr 3.05
Br (0.2777, 0.5555, 0.2247)  3 Sr 3.05
Sr (0.6112, 0.2223, 0.3480)  3 Br 3.05, 3 Ag 3.28
Sr (0.6112, 0.2223, 0.6520)  3 Br 3.05, 3 Ag 3.28
Ag (0.2775, 0.5550, 0.5000)  6 Sr 3.28
Ag (0.6113, 0.2226, 0.0000)  6 Br 3.98, 6 Ag 4.41

symmetry: P-6m2, No. 187

No. 14
Material: Sr2AgBr
Method: DFT, PBE-GGA
State: relaxed

a b c (Å): 5.7343 5.7343 5.7343
angles (deg): 60.00 60.00 60.00
Last column: nearest neighbours and their distance in Å.
Element x y z (fractional)
Ag (0.5000, 0.5000, 0.5000)  8 Sr 3.51
Sr (0.7500, 0.7500, 0.7500)  4 Br 3.51, 4 Ag 3.51
Sr (0.2500, 0.2500, 0.2500)  4 Br 3.51, 4 Ag 3.51
Br (0.0000, 0.0000, 0.0000)  8 Sr 3.51

symmetry: Fm-3m, No. 225

No. 15
Material: SrAgBr2
Method: DFT, PBE-GGA
State: relaxed

a b c (Å): 5.0907 5.0907 4.1608
angles (deg): 89.50 89.50 89.99
Last column: nearest neighbours and their distance in Å.
Element x y z (fractional)
Sr (0.5000, 0.0000, 0.5000)  8 Br 3.27-3.30, 4 Ag 3.60
Br (0.5000, 0.5000, 0.0000)  4 Ag 3.27-3.30, 4 Sr 3.27-3.30, 4 Br 3.60
Br (0.0000, 0.0000, 0.0000)  4 Sr 3.27-3.30, 4 Ag 3.27-3.30, 4 Br 3.60
Ag (0.0000, 0.5000, 0.5000)  8 Br 3.27-3.30, 4 Sr 3.60

symmetry: C2/m, No. 12

No. 16
Material: Sr2AgBr
Method: DFT, PBE-GGA
State: relaxed

a b c (Å): 5.8169 5.8169 5.8169
angles (deg): 60.00 60.00 60.00
Last column: nearest neighbours and their distance in Å.
Element x y z (fractional)
Sr (0.0000, 0.0000, 0.0000)  4 Sr 3.56, 4 Br 3.56
Sr (0.2500, 0.2500, 0.2500)  4 Ag 3.56, 4 Sr 3.56
Ag (0.5000, 0.5000, 0.5000)  4 Sr 3.56, 4 Br 3.56
Br (0.7500, 0.7500, 0.7500)  4 Sr 3.56, 4 Ag 3.56

symmetry: F-43m, No. 216

No. 17
Material: SrAgBr2
Method: DFT, PBE-GGA
State: relaxed

a b c (Å): 5.4229 5.4229 5.4229
angles (deg): 60.00 60.00 60.00
Last column: nearest neighbours and their distance in Å.
Element x y z (fractional)
Br (0.7500, 0.7500, 0.7500)  4 Ag 3.32, 4 Sr 3.32
Br (0.2500, 0.2500, 0.2500)  4 Ag 3.32, 4 Sr 3.32
Sr (0.0000, 0.0000, 0.0000)  8 Br 3.32
Ag (0.5000, 0.5000, 0.5000)  8 Br 3.32

symmetry: Fm-3m, No. 225

No. 18
Material: Sr2AgBr
Method: DFT, PBE-GGA
State: relaxed

a b c (Å): 8.8809 8.8809 8.8809
angles (deg): 152.50 153.61 38.49
Last column: nearest neighbours and their distance in Å.
Element x y z (fractional)
Sr (0.9644, 0.9644, 0.0000)  4 Ag 3.24, 2 Br 3.47
Sr (0.6914, 0.1914, 0.5000)  2 Ag 3.20, 4 Br 3.42
Ag (0.5478, 0.5478, 0.0000)  6 Sr 3.20-3.24
Br (0.2964, 0.7964, 0.5000)  6 Sr 3.42-3.47

symmetry: Imm2, No. 44

No. 19
Material: Sr2AgBr6
Method: DFT, PBE-GGA
State: relaxed

a b c (Å): 6.9784 8.3037 9.8127
angles (deg): 90.00 90.07 90.00
Last column: nearest neighbours and their distance in Å.
Element x y z (fractional)
Sr (0.0431, 0.6219, 0.2593)  8 Br 3.13-3.48
Sr (0.5431, 0.8781, 0.7593)  8 Br 3.13-3.48
Sr (0.4569, 0.1219, 0.2407)  8 Br 3.13-3.48
Sr (0.9569, 0.3781, 0.7407)  8 Br 3.13-3.48
Br (0.1748, 0.3408, 0.0585)  1 Ag 2.69
Br (0.6748, 0.1592, 0.5585)  1 Ag 2.69
Br (0.3246, 0.8325, 0.0587)  1 Ag 3.07, 3 Sr 3.13-3.33
Br (0.3743, 0.5278, 0.7476)  1 Ag 2.64
Br (0.1754, 0.3325, 0.4413)  1 Ag 3.07, 3 Sr 3.13-3.33
Br (0.3252, 0.8408, 0.4415)  1 Ag 2.69
Br (0.8246, 0.6675, 0.5587)  1 Ag 3.07, 3 Sr 3.13-3.33
Br (0.6257, 0.4722, 0.2524)  1 Ag 2.64
Br (0.6754, 0.1675, 0.9413)  1 Ag 3.07, 3 Sr 3.13-3.33
Br (0.8743, 0.9722, 0.2476)  1 Ag 2.64
Br (0.8252, 0.6592, 0.9415)  1 Ag 2.69
Br (0.1257, 0.0278, 0.7524)  1 Ag 2.64
Ag (0.0000, 0.0000, 0.5000)  4 Br 2.64-2.69
Ag (0.5000, 0.5000, 0.0000)  4 Br 2.64-2.69

symmetry: P2_1/c, No. 14

No. 20
Material: SrAgBr2
Method: DFT, PBE-GGA
State: relaxed

a b c (Å): 4.3924 4.3924 9.5817
angles (deg): 89.74 89.74 60.26
Last column: nearest neighbours and their distance in Å.
Element x y z (fractional)
Br (0.0837, 0.0837, 0.9255)  3 Sr 3.04-3.05, 1 Ag 3.36
Br (0.4163, 0.4163, 0.5745)  3 Sr 3.04-3.05, 1 Ag 3.36
Sr (0.7500, 0.7500, 0.7500)  6 Br 3.04-3.05
Ag (0.2500, 0.2500, 0.2500)  2 Br 3.36

symmetry: C2/m, No. 12

No. 21
Material: SrAgBr2
Method: DFT, PBE-GGA
State: relaxed

a b c (Å): 9.1901 9.1901 9.1901
angles (deg): 27.72 27.72 27.72
Last column: nearest neighbours and their distance in Å.
Element x y z (fractional)
Sr (0.0000, 0.0000, 0.0000)  2 Br 2.94
Br (0.1108, 0.1108, 0.1108)  1 Sr 2.94, 3 Ag 2.94
Br (0.8892, 0.8892, 0.8892)  1 Sr 2.94, 3 Ag 2.94
Ag (0.5000, 0.5000, 0.5000)  6 Br 2.94

symmetry: R-3m, No. 166

No. 22
Material: SrAgBr
Method: DFT, PBE-GGA
State: relaxed

a b c (Å): 4.4876 4.4876 6.5418
angles (deg): 90.00 90.00 120.00
Last column: nearest neighbours and their distance in Å.
Element x y z (fractional)
Ag (0.0000, 0.0000, 0.9529)  3 Sr 3.26
Sr (0.3333, 0.6667, 0.6515)  3 Br 3.09, 3 Ag 3.26
Br (0.6667, 0.3333, 0.3955)  3 Sr 3.09

symmetry: P3m1, No. 156

no.,ΔE_f (raw) (eV per atom)
1,-0.6396
2,-0.6864
3,-0.6131
4,-0.6683
5,-0.5005
6,0.1833
7,-0.5006
8,0.2962
9,-0.9848
10,0.3431
11,-0.7681
12,-0.6521
13,-0.6703
14,-0.6745
15,-1.0100
16,-0.2058
17,-1.0206
18,-0.7778
19,-1.4572
20,-1.0545
21,-0.7374
22,-0.8721